1.
Here is BaZrSe3 at its PBEsol-relaxed geometry from the Alexandria database. Energies are from SCAN.

```
data_BaZrSe3
_space_group_name_H-M_alt 'P m -3 m'
_space_group_IT_number 221
_space_group_name_Hall '-P 4 2 3'
_cell_length_a 5.2071
_cell_length_b 5.2071
_cell_length_c 5.2071
_cell_angle_alpha 90.00
_cell_angle_beta 90.00
_cell_angle_gamma 90.00
loop_
_atom_site_label
_atom_site_fract_x
_atom_site_fract_y
_atom_site_fract_z
Ba1 0.0000 0.0000 0.0000
Zr1 0.5000 0.5000 0.5000
Se1 0.0000 0.5000 0.5000
```

* total energy: -27.91 eV per atom
* ΔE_f (raw): -1.816 eV per atom
* density of states at the Fermi level: 0.0 states/eV/cell


2.
Here is BaSi6 at its PBEsol-relaxed geometry from the Alexandria database. Energies are from SCAN.

```
data_BaSi6
_space_group_name_H-M_alt 'C m c m'
_space_group_IT_number 63
_space_group_name_Hall '-C 2c 2'
_cell_length_a 4.4761
_cell_length_b 10.3170
_cell_length_c 11.8636
_cell_angle_alpha 90.00
_cell_angle_beta 90.00
_cell_angle_gamma 90.00
loop_
_atom_site_label
_atom_site_fract_x
_atom_site_fract_y
_atom_site_fract_z
Ba1 0.0000 0.2262 0.2500
Si1 0.0000 0.0586 0.6466
Si2 0.0000 0.2535 0.5369
Si3 0.0000 0.4777 0.5990
```

* total energy: -14.29 eV per atom
* ΔE_f (raw): -0.050 eV per atom
* density of states at the Fermi level: 5.8 states/eV/cell


3.
Here is Ba3Si4 at its PBEsol-relaxed geometry from the Alexandria database. Energies are from SCAN.

```
data_Ba3Si4
_space_group_name_H-M_alt 'P 42/m n m'
_space_group_IT_number 136
_space_group_name_Hall '-P 4n 2n'
_cell_length_a 8.4270
_cell_length_b 8.4270
_cell_length_c 11.8183
_cell_angle_alpha 90.00
_cell_angle_beta 90.00
_cell_angle_gamma 90.00
loop_
_atom_site_label
_atom_site_fract_x
_atom_site_fract_y
_atom_site_fract_z
Ba1 0.0000 0.0000 0.1685
Ba2 0.0000 0.5000 0.2500
Ba3 0.1650 0.1650 0.5000
Si1 0.0975 0.3023 0.0000
Si2 0.1987 0.8013 0.3561
```

* total energy: -23.11 eV per atom
* ΔE_f (raw): -0.439 eV per atom
* density of states at the Fermi level: 6.7 states/eV/cell


4.
Here is Ba5Si at its PBEsol-relaxed geometry from the Alexandria database. Energies are from SCAN.

```
data_Ba5Si
_space_group_name_H-M_alt 'C 1 2/m 1'
_space_group_IT_number 12
_space_group_name_Hall '-C 2y'
_cell_length_a 14.5831
_cell_length_b 4.2791
_cell_length_c 10.2855
_cell_angle_alpha 90.00
_cell_angle_beta 114.24
_cell_angle_gamma 90.00
loop_
_atom_site_label
_atom_site_fract_x
_atom_site_fract_y
_atom_site_fract_z
Ba1 0.0000 0.0000 0.0000
Ba2 0.1217 0.5000 0.3826
Ba3 0.1535 0.5000 0.7564
Si1 0.0000 0.0000 0.5000
```

* total energy: -34.71 eV per atom
* ΔE_f (raw): -0.086 eV per atom
* density of states at the Fermi level: 12.9 states/eV/cell


5.
Here is Ba3Si at its PBEsol-relaxed geometry from the Alexandria database. Energies are from SCAN.

```
data_Ba3Si
_space_group_name_H-M_alt 'P n m a'
_space_group_IT_number 62
_space_group_name_Hall '-P 2ac 2n'
_cell_length_a 8.4384
_cell_length_b 11.0818
_cell_length_c 7.3661
_cell_angle_alpha 90.00
_cell_angle_beta 90.00
_cell_angle_gamma 90.00
loop_
_atom_site_label
_atom_site_fract_x
_atom_site_fract_y
_atom_site_fract_z
Ba1 0.0320 0.2500 0.1242
Ba2 0.1697 0.0641 0.6865
Si1 0.1052 0.7500 0.4551
```

* total energy: -32.38 eV per atom
* ΔE_f (raw): -0.215 eV per atom
* density of states at the Fermi level: 6.9 states/eV/cell
* offset from the most stable computed form: 0 meV/atom


6.
Here is BaSi23 at its PBEsol-relaxed geometry from the Alexandria database. Energies are from SCAN.

```
data_BaSi23
_space_group_name_H-M_alt 'P m -3 n'
_space_group_IT_number 223
_space_group_name_Hall '-P 4n 2 3'
_cell_length_a 10.2087
_cell_length_b 10.2087
_cell_length_c 10.2087
_cell_angle_alpha 90.00
_cell_angle_beta 90.00
_cell_angle_gamma 90.00
loop_
_atom_site_label
_atom_site_fract_x
_atom_site_fract_y
_atom_site_fract_z
Ba1 0.0000 0.0000 0.0000
Si1 0.0000 0.1165 0.3097
Si2 0.0000 0.2500 0.5000
Si3 0.1848 0.1848 0.1848
```

* total energy: -11.18 eV per atom
* ΔE_f (raw): 0.069 eV per atom
* density of states at the Fermi level: 9.8 states/eV/cell